GGA-PBE Li4Dy3GaS8, relaxed; formation energy from raw total energies = -1.562 eV/atom; ρ = 4448 kg/m3; magnetic moment = 0.0 μB per cell
1.0
7.6709 0.0000 0.0000
0.0000 7.5919 -0.0642
-3.8355 -3.8344 5.4265
Dy S Ga Li
3 8 1 4
Direct
0.5000 0.5000 0.0000 Dy
0.0000 0.5000 0.5000 Dy
0.5000 0.5000 0.5000 Dy
0.7616 0.2555 0.9938 S
0.2399 0.7458 0.4798 S
0.2322 0.2555 0.9938 S
0.7507 0.7521 0.5014 S
0.7678 0.7445 0.0062 S
0.7601 0.2542 0.5202 S
0.2493 0.2479 0.4986 S
0.2384 0.7445 0.0062 S
0.0000 0.5000 0.0000 Ga
0.0000 0.0000 0.5000 Li
0.0000 0.0000 0.0000 Li
0.5000 0.0000 0.0000 Li
0.5000 0.0000 0.5000 Li

---

GGA-PBE Li2DyGaS4, relaxed; formation energy from raw total energies = -1.306 eV/atom; ρ = 4144 kg/m3; magnetic moment = 0.0 μB per cell
1.0
7.5170 -0.0014 -0.1852
-0.0067 7.5170 -0.1852
-3.8356 -3.8383 5.4982
Li S Ga Dy
4 8 2 2
Direct
0.5000 0.5000 0.0000 Li
0.0000 0.0000 0.5000 Li
0.5000 0.0000 0.0000 Li
0.5000 0.0000 0.5000 Li
0.7442 0.7567 0.9696 S
0.2567 0.2442 0.4696 S
0.7433 0.7558 0.5304 S
0.7447 0.2405 0.4925 S
0.2595 0.7553 0.0075 S
0.2558 0.2433 0.0304 S
0.2553 0.7595 0.5075 S
0.7405 0.2447 0.9925 S
0.5000 0.5000 0.5000 Ga
0.0000 0.0000 0.0000 Ga
0.0000 0.5000 0.5000 Dy
0.0000 0.5000 0.0000 Dy

---

GGA-PBE LiDySc2Ga4, relaxed; E_form = -0.51 eV/atom; ρ = 5745 kg/m3; magnetic moment = 0.0 μB per cell
1.0
4.7435 0.0000 0.0000
2.3717 4.1080 0.0000
2.3717 1.3693 7.9838
Li Ga Sc Dy
1 4 2 1
Direct
0.5000 0.5000 0.5000 Li
0.8727 0.8727 0.3818 Ga
0.1273 0.1273 0.6182 Ga
0.6204 0.6204 0.1387 Ga
0.3796 0.3796 0.8613 Ga
0.7557 0.7557 0.7328 Sc
0.2443 0.2443 0.2672 Sc
0.0000 0.0000 0.0000 Dy

---

GGA-PBE Li2SmDy2Ga2, relaxed; E_form = -0.28 eV/atom; ρ = 6399 kg/m3; magnetic moment = 0.0 μB per cell
1.0
4.6354 0.0000 0.0000
2.3177 4.0144 0.0000
2.3177 1.3381 8.7672
Sm Li Dy Ga
1 2 2 2
Direct
0.0000 0.0000 0.0000 Sm
0.5995 0.5995 0.2014 Li
0.4005 0.4005 0.7986 Li
0.1270 0.1270 0.6191 Dy
0.8730 0.8730 0.3809 Dy
0.7406 0.7406 0.7781 Ga
0.2594 0.2594 0.2219 Ga

---

GGA-PBE Li2Tb2DyGa2, relaxed; E_form = -0.28 eV/atom; ρ = 6539 kg/m3; magnetic moment = 0.0 μB per cell
1.0
-4.4903 0.9140 -0.3464
-2.6193 -2.4157 -2.9020
-4.0484 -6.3331 5.2873
Ga Tb Dy Li
2 2 1 2
Direct
0.7375 0.7375 0.7876 Ga
0.2625 0.2625 0.2124 Ga
0.1258 0.1258 0.6225 Tb
0.8742 0.8742 0.3775 Tb
0.0000 0.0000 0.0000 Dy
0.3954 0.3954 0.8139 Li
0.6046 0.6046 0.1861 Li

---

GGA-PBE LiDyThGa, relaxed; E_form = -0.20 eV/atom; ρ = 8070 kg/m3; magnetic moment = 0.0 μB per cell
1.0
-0.7492 -0.2557 5.0955
-0.2240 -4.5865 2.3462
3.8388 -1.5014 3.0983
Th Li Ga Dy
1 1 1 1
Direct
0.0000 0.0000 0.0000 Th
0.7500 0.7500 0.7500 Li
0.2500 0.2500 0.2500 Ga
0.5000 0.5000 0.5000 Dy

---

GGA-PBE LiDyTiGa, relaxed; E_form = -0.14 eV/atom; ρ = 6141 kg/m3; magnetic moment = 0.8 μB per cell
1.0
4.7879 0.0000 0.0000
2.3940 4.1465 0.0000
2.3940 1.3822 3.9093
Dy Li Ti Ga
1 1 1 1
Direct
0.7500 0.7500 0.7500 Dy
0.0000 0.0000 0.0000 Li
0.2500 0.2500 0.2500 Ti
0.5000 0.5000 0.5000 Ga

---

GGA-PBE LiDyTlGa, relaxed; E_form = -0.36 eV/atom; ρ = 8264 kg/m3; magnetic moment = 0.0 μB per cell
1.0
-2.6430 2.4156 -3.5097
-4.5921 1.7135 1.0561
-0.8012 4.9319 0.4164
Ga Dy Li Tl
1 1 1 1
Direct
0.2500 0.2500 0.2500 Ga
0.0000 0.0000 0.0000 Dy
0.5000 0.5000 0.5000 Li
0.7500 0.7500 0.7500 Tl